1.
TbCe2SmP4 | PBE | optimized geometry

The crystal system is monoclinic. The energy relative to the elements is -1.55 eV/atom.

It has space group P2/m (No. 10), with a = 7.054 Å, b = 4.078 Å, c = 7.064 Å, α = 90.00°, β = 109.49° and γ = 90.00°. Symmetry generates all atoms from Tb at (0.000, 0.000, 0.000), Ce at (0.500, 0.000, 0.500), Ce at (0.500, 0.500, 0.000), Sm at (0.000, 0.500, 0.500), P at (0.250, 0.500, 0.248) and P at (0.252, 0.000, 0.753).

=====

2.
CdBPt3 | PBE | optimized geometry

The crystal system is cubic. For the relative energy among the computed polymorphs, the calculation gives 0.25 eV/f.u. The energy relative to the elements is -0.30 eV/atom.

It has space group Fd-3m (No. 227, origin choice 2), with a = 11.102 Å, b = 11.102 Å, c = 11.102 Å, α = 90.00°, β = 90.00° and γ = 90.00°. Symmetry generates all atoms from Cd at (0.000, 0.000, 0.000), B at (0.000, 0.000, 0.500) and Pt at (0.075, 0.375, 0.875).

=====

3.
Mg2TiI | PBE | optimized geometry

The crystal system is tetragonal. For the relative energy among the computed polymorphs, the calculation gives 0.00 eV/f.u.

It has space group I-42d (No. 122), with a = 8.365 Å, b = 8.365 Å, c = 6.069 Å, α = 90.00°, β = 90.00° and γ = 90.00°. Symmetry generates all atoms from Mg at (0.250, 0.250, 0.375), Ti at (0.000, 0.000, 0.000) and I at (0.000, 0.000, 0.500).

=====

4.
Cd2CuCl | PBE | optimized geometry

The crystal system is monoclinic. For the relative energy among the computed polymorphs, the calculation gives 0.13 eV/f.u.

It has space group Cm (No. 8), with a = 11.183 Å, b = 3.207 Å, c = 5.808 Å, α = 90.00°, β = 93.51° and γ = 90.00°. Symmetry generates all atoms from Cd at (0.000, 0.000, 0.000), Cd at (0.220, 0.500, 0.981), Cu at (0.365, 0.000, 0.258) and Cl at (0.356, 0.500, 0.562).

=====

| no. | ρ (g/cm³) | total DFT energy (no corrections) (eV per atom) |
| --- | --- | --- |
| 1 | 6.18 | -6.91 |
| 2 | 13.75 | -5.45 |
| 3 | 3.49 | -2.78 |
| 4 | 5.17 | -2.10 |